1 | Below is a geometry-optimized CaCoOs structure, with properties calculated at the PBE level.

```
CaCoOs
1.0
-3.628 0.030 -1.484
1.804 -3.410 0.698
-1.720 -0.049 4.204
Co Ca Os
1 1 1
Direct
0.667 0.333 0.500
0.000 0.000 0.000
0.333 0.667 0.500
```

## Properties
**V**: 20.15 Å³ per atom
**Crystal system**: hexagonal


2 | Below is a geometry-optimized CaCoOs structure, with properties calculated at the PBE level.

```
CaCoOs
1.0
-1.125 -3.510 2.482
-0.877 -3.902 -1.937
2.831 -3.395 0.460
Co Ca Os
1 1 1
Direct
0.000 0.000 0.000
0.250 0.250 0.250
0.500 0.500 0.500
```

## Properties
**V**: 20.69 Å³ per atom
**Crystal system**: cubic


Which structure above is the least stable one? 2 is the least stable one.